Compound: Mn2Cu2Ru
Source: the Alexandria database
Functional: PBE-GGA
Structure: optimized geometry

Cell lengths 6.626, 6.626, 6.626 Å; angles 152.09, 152.09, 39.88 degrees
Fractional coordinates of all 5 atoms:
Mn  0.250  0.750  0.500
Mn  0.750  0.250  0.500
Cu  0.099  0.099  0.000
Cu  0.901  0.901  0.000
Ru  0.500  0.500  0.000

Properties
* total magnetic moment: 0.0 Bohr magnetons per cell
* SG: No. 139
* formation energy from the elements: 3.5 eV per formula unit
* E: -6.4621 eV per atom
* Fermi-level density of states: 6.52 states/eV/f.u.